First-principles (GGA-PBE) data for crystalline Be2CrP at its relaxed geometry, as listed in Alexandria.

Unit cell a=3.269 b=3.269 c=7.183 alpha=90.00 beta=90.00 gamma=90.00
Space group I-4m2 (No. 119)
Symmetry-distinct sites (fractional):
Be  0.000  0.000  0.000
Be  0.000  0.500  0.250
Cr  0.000  0.000  0.500
P  0.000  0.500  0.750

Raw total energy = -0.214 Ha/atom

First-principles (GGA-PBE) data for crystalline BeCrP2 at its relaxed geometry, as listed in Alexandria.

Unit cell a=5.749 b=5.749 c=5.749 alpha=90.00 beta=90.00 gamma=90.00
Space group F-43m (No. 216)
Symmetry-distinct sites (fractional):
Be  0.000  0.000  0.000
Cr  0.250  0.250  0.250
P  0.000  0.000  0.500
P  0.250  0.250  0.750

Raw total energy = -0.204 Ha/atom

First-principles (GGA-PBE) data for crystalline BeCrP3 at its relaxed geometry, as listed in Alexandria.

Unit cell a=4.174 b=4.174 c=4.174 alpha=90.00 beta=90.00 gamma=90.00
Space group Pm-3m (No. 221)
Symmetry-distinct sites (fractional):
Be  0.000  0.000  0.000
Cr  0.500  0.500  0.500
P  0.000  0.000  0.500

Offset from the most stable computed form = 216 meV per atom

First-principles (GGA-PBE) data for crystalline BeCr2P at its relaxed geometry, as listed in Alexandria.

Unit cell a=2.542 b=3.598 c=4.802 alpha=90.00 beta=101.45 gamma=90.00
Space group P2/m (No. 10)
Symmetry-distinct sites (fractional):
Be  0.000  0.000  0.000
Cr  0.287  0.500  0.757
P  0.500  0.000  0.500

Offset from the most stable computed form = 251 meV per atom

First-principles (GGA-PBE) data for crystalline BeCrP2 at its relaxed geometry, as listed in Alexandria.

Unit cell a=3.065 b=3.899 c=7.446 alpha=90.00 beta=90.00 gamma=90.00
Space group Imm2 (No. 44)
Symmetry-distinct sites (fractional):
Be  0.000  0.000  0.000
Cr  0.000  0.500  0.230
P  0.000  0.000  0.465
P  0.000  0.500  0.714

Raw total energy = -0.217 Ha/atom

First-principles (GGA-PBE) data for crystalline BeCr2P at its relaxed geometry, as listed in Alexandria.

Unit cell a=2.6624 b=2.6624 c=22.5517 alpha=90.00 beta=90.00 gamma=120.00
Space group R3m (No. 160, hexagonal axes)
Symmetry-distinct sites (fractional):
Be  0.0000  0.0000  0.0000
Cr  0.0000  0.0000  0.2498
Cr  0.0000  0.0000  0.4995
P  0.0000  0.0000  0.7546

Offset from the most stable computed form = 509 meV per atom

First-principles (GGA-PBE) data for crystalline Be2CrP at its relaxed geometry, as listed in Alexandria.

Unit cell a=4.522 b=7.003 c=2.616 alpha=90.00 beta=90.00 gamma=90.00
Space group Cmmm (No. 65)
Symmetry-distinct sites (fractional):
Be  0.250  0.250  0.000
Cr  0.000  0.000  0.500
P  0.000  0.500  0.500

Raw total energy = -0.202 Ha/atom

First-principles (GGA-PBE) data for crystalline BeCrP2 at its relaxed geometry, as listed in Alexandria.

Unit cell a=3.195 b=4.200 c=6.737 alpha=90.00 beta=90.00 gamma=90.00
Space group Immm (No. 71)
Symmetry-distinct sites (fractional):
Be  0.000  0.000  0.000
Cr  0.000  0.000  0.500
P  0.000  0.500  0.276

Raw total energy = -0.221 Ha/atom

First-principles (GGA-PBE) data for crystalline BeCr2P at its relaxed geometry, as listed in Alexandria.

Unit cell a=2.941 b=2.941 c=4.943 alpha=90.00 beta=90.00 gamma=90.00
Space group P4/mmm (No. 123)
Symmetry-distinct sites (fractional):
Be  0.000  0.000  0.000
Cr  0.500  0.500  0.261
P  0.000  0.000  0.500

Offset from the most stable computed form = 233 meV per atom

First-principles (GGA-PBE) data for crystalline BeCr2P at its relaxed geometry, as listed in Alexandria.

Unit cell a=4.879 b=5.630 c=3.066 alpha=90.00 beta=90.00 gamma=90.00
Space group Cmmm (No. 65)
Symmetry-distinct sites (fractional):
Be  0.000  0.000  0.000
Cr  0.250  0.250  0.500
P  0.000  0.500  0.000

Offset from the most stable computed form = 208 meV per atom

First-principles (GGA-PBE) data for crystalline BeCr2P at its relaxed geometry, as listed in Alexandria.

Unit cell a=3.532 b=3.532 c=3.501 alpha=90.00 beta=90.00 gamma=90.00
Space group P4/mmm (No. 123)
Symmetry-distinct sites (fractional):
Be  0.000  0.000  0.000
Cr  0.000  0.500  0.500
P  0.500  0.500  0.000

Offset from the most stable computed form = 179 meV per atom

First-principles (GGA-PBE) data for crystalline Be2CrP at its relaxed geometry, as listed in Alexandria.

Unit cell a=2.6068 b=2.6068 c=22.1035 alpha=90.00 beta=90.00 gamma=120.00
Space group R-3m (No. 166, hexagonal axes)
Symmetry-distinct sites (fractional):
Be  0.0000  0.0000  0.2473
Cr  0.0000  0.0000  0.0000
P  0.0000  0.0000  0.5000

Raw total energy = -0.193 Ha/atom

First-principles (GGA-PBE) data for crystalline BeCrP2 at its relaxed geometry, as listed in Alexandria.

Unit cell a=3.025 b=3.025 c=5.022 alpha=90.00 beta=90.00 gamma=90.00
Space group P4/mmm (No. 123)
Symmetry-distinct sites (fractional):
Be  0.000  0.000  0.000
Cr  0.000  0.000  0.500
P  0.500  0.500  0.255

Raw total energy = -0.221 Ha/atom

First-principles (GGA-PBE) data for crystalline BeCrP2 at its relaxed geometry, as listed in Alexandria.

Unit cell a=2.7092 b=2.7092 c=27.5286 alpha=90.00 beta=90.00 gamma=120.00
Space group R3m (No. 160, hexagonal axes)
Symmetry-distinct sites (fractional):
Be  0.0000  0.0000  0.0000
Cr  0.0000  0.0000  0.2635
P  0.0000  0.0000  0.5333
P  0.0000  0.0000  0.7258

Raw total energy = -0.210 Ha/atom

First-principles (GGA-PBE) data for crystalline BeCr2P at its relaxed geometry, as listed in Alexandria.

Unit cell a=3.144 b=3.641 c=7.376 alpha=90.00 beta=90.00 gamma=90.00
Space group Imm2 (No. 44)
Symmetry-distinct sites (fractional):
Be  0.000  0.000  0.000
Cr  0.000  0.000  0.504
Cr  0.000  0.500  0.760
P  0.000  0.500  0.255

Offset from the most stable computed form = 149 meV per atom

First-principles (GGA-PBE) data for crystalline Be2CrP at its relaxed geometry, as listed in Alexandria.

Unit cell a=2.461 b=3.669 c=4.439 alpha=90.00 beta=90.00 gamma=90.00
Space group Pmm2 (No. 25)
Symmetry-distinct sites (fractional):
Be  0.000  0.000  0.000
Be  0.000  0.500  0.231
Cr  0.500  0.500  0.743
P  0.000  0.000  0.511

Raw total energy = -0.209 Ha/atom

First-principles (GGA-PBE) data for crystalline BeCrP2 at its relaxed geometry, as listed in Alexandria.

Unit cell a=3.133 b=3.026 c=10.540 alpha=90.00 beta=90.00 gamma=90.00
Space group Amm2 (No. 38)
Symmetry-distinct sites (fractional):
Be  0.000  0.000  0.000
Cr  0.500  0.000  0.191
P  0.000  0.000  0.790
P  0.500  0.000  0.526

Raw total energy = -0.228 Ha/atom

First-principles (GGA-PBE) data for crystalline BeCr2P at its relaxed geometry, as listed in Alexandria.

Unit cell a=2.6408 b=2.6408 c=22.1974 alpha=90.00 beta=90.00 gamma=120.00
Space group R-3m (No. 166, hexagonal axes)
Symmetry-distinct sites (fractional):
Be  0.0000  0.0000  0.0000
Cr  0.0000  0.0000  0.2487
P  0.0000  0.0000  0.5000

Offset from the most stable computed form = 415 meV per atom

First-principles (GGA-PBE) data for crystalline Be2CrP at its relaxed geometry, as listed in Alexandria.

Unit cell a=4.480 b=7.744 c=2.476 alpha=90.00 beta=108.12 gamma=90.00
Space group C2/m (No. 12)
Symmetry-distinct sites (fractional):
Be  0.250  0.250  0.000
Cr  0.000  0.000  0.500
P  0.000  0.500  0.500

Raw total energy = -0.203 Ha/atom

First-principles (GGA-PBE) data for crystalline BeCr2P at its relaxed geometry, as listed in Alexandria.

Unit cell a=4.970 b=7.129 c=2.534 alpha=90.00 beta=107.62 gamma=90.00
Space group C2/m (No. 12)
Symmetry-distinct sites (fractional):
Be  0.000  0.000  0.000
Cr  0.250  0.250  0.500
P  0.000  0.500  0.000

Offset from the most stable computed form = 280 meV per atom

First-principles (GGA-PBE) data for crystalline BeCr2P at its relaxed geometry, as listed in Alexandria.

Unit cell a=2.990 b=4.156 c=7.086 alpha=90.00 beta=90.00 gamma=90.00
Space group Cmmm (No. 65)
Symmetry-distinct sites (fractional):
Be  0.000  0.000  0.000
Cr  0.000  0.500  0.254
P  0.000  0.000  0.500

Offset from the most stable computed form = 404 meV per atom

First-principles (GGA-PBE) data for crystalline BeCrP2 at its relaxed geometry, as listed in Alexandria.

Unit cell a=2.929 b=2.923 c=5.655 alpha=90.00 beta=102.16 gamma=90.00
Space group P2/m (No. 10)
Symmetry-distinct sites (fractional):
Be  0.000  0.000  0.000
Cr  0.000  0.000  0.500
P  0.406  0.500  0.268

Raw total energy = -0.223 Ha/atom

First-principles (GGA-PBE) data for crystalline BeCrP2 at its relaxed geometry, as listed in Alexandria.

Unit cell a=3.396 b=4.392 c=6.581 alpha=90.00 beta=90.00 gamma=90.00
Space group Cmmm (No. 65)
Symmetry-distinct sites (fractional):
Be  0.000  0.000  0.000
Cr  0.000  0.000  0.500
P  0.000  0.500  0.248

Raw total energy = -0.214 Ha/atom

First-principles (GGA-PBE) data for crystalline Be2CrP at its relaxed geometry, as listed in Alexandria.

Unit cell a=2.951 b=2.951 c=4.636 alpha=90.00 beta=90.00 gamma=90.00
Space group P4mm (No. 99)
Symmetry-distinct sites (fractional):
Be  0.000  0.000  0.000
Be  0.500  0.500  0.219
Cr  0.000  0.000  0.499
P  0.500  0.500  0.729

Raw total energy = -0.212 Ha/atom

First-principles (GGA-PBE) data for crystalline BeCrP2 at its relaxed geometry, as listed in Alexandria.

Unit cell a=3.122 b=3.122 c=4.738 alpha=90.00 beta=90.00 gamma=90.00
Space group P4mm (No. 99)
Symmetry-distinct sites (fractional):
Be  0.000  0.000  0.000
Cr  0.500  0.500  0.324
P  0.000  0.000  0.485
P  0.500  0.500  0.830

Raw total energy = -0.223 Ha/atom

First-principles (GGA-PBE) data for crystalline BeCr4P at its relaxed geometry, as listed in Alexandria.

Unit cell a=6.579 b=6.579 c=6.579 alpha=90.00 beta=90.00 gamma=90.00
Space group F-43m (No. 216)
Symmetry-distinct sites (fractional):
Be  0.000  0.000  0.000
Cr  0.126  0.126  0.626
P  0.250  0.250  0.250

Raw total energy = -0.276 Ha/atom

First-principles (GGA-PBE) data for crystalline Be2CrPPb at its relaxed geometry, as listed in Alexandria.

Unit cell a=4.061 b=4.061 c=5.901 alpha=90.00 beta=90.00 gamma=90.00
Space group P4/mmm (No. 123)
Symmetry-distinct sites (fractional):
Be  0.000  0.500  0.000
Cr  0.000  0.000  0.500
P  0.500  0.500  0.000
Pb  0.500  0.500  0.500

Raw total energy = -0.164 Ha/atom

First-principles (GGA-PBE) data for crystalline BeCrPRu at its relaxed geometry, as listed in Alexandria.

Unit cell a=5.672 b=5.672 c=5.672 alpha=90.00 beta=90.00 gamma=90.00
Space group F-43m (No. 216)
Symmetry-distinct sites (fractional):
Be  0.000  0.000  0.000
Cr  0.250  0.250  0.250
P  0.000  0.000  0.500
Ru  0.250  0.250  0.750

Raw total energy = -0.267 Ha/atom

First-principles (GGA-PBE) data for crystalline BeCrP2S at its relaxed geometry, as listed in Alexandria.

Unit cell a=4.523 b=4.523 c=4.271 alpha=90.00 beta=90.00 gamma=90.00
Space group P4/mmm (No. 123)
Symmetry-distinct sites (fractional):
Be  0.000  0.000  0.000
Cr  0.500  0.500  0.500
P  0.000  0.500  0.500
S  0.500  0.500  0.000

Offset from the most stable computed form = 137 meV per atom
Formation energy from raw total energies = 771 meV/atom

First-principles (GGA-PBE) data for crystalline BeCrP2S at its relaxed geometry, as listed in Alexandria.

Unit cell a=4.018 b=4.018 c=4.571 alpha=90.00 beta=90.00 gamma=90.00
Space group P4/mmm (No. 123)
Symmetry-distinct sites (fractional):
Be  0.000  0.000  0.000
Cr  0.500  0.500  0.500
P  0.000  0.500  0.000
S  0.000  0.000  0.500

Offset from the most stable computed form = 0 meV per atom
Formation energy from raw total energies = 634 meV/atom